[1]
Density functional theory data (PBE-GGA) for an optimized crystal structure of SrAc6Nd3.

abc: 11.7291 5.9030 12.8341
angles: 90.00 96.92 90.00
Sites, in units of the cell vectors:
Sr 0.1646 0.2500 0.0587
Sr 0.8354 0.7500 0.9413
Ac 0.1215 0.2500 0.3872
Ac 0.1308 0.7500 0.8343
Ac 0.2343 0.7500 0.5742
Ac 0.3071 0.7500 0.2969
Ac 0.3384 0.2500 0.7797
Ac 0.3985 0.7500 0.0185
Ac 0.6015 0.2500 0.9815
Ac 0.6616 0.7500 0.2203
Ac 0.6929 0.2500 0.7031
Ac 0.7657 0.2500 0.4258
Ac 0.8692 0.2500 0.1657
Ac 0.8785 0.7500 0.6128
Nd 0.0400 0.2500 0.6663
Nd 0.4236 0.2500 0.4867
Nd 0.4718 0.2500 0.2172
Nd 0.5282 0.7500 0.7828
Nd 0.5764 0.7500 0.5133
Nd 0.9600 0.7500 0.3337

## Properties
ΔH_f (0 K): 2.94 kcal/mol of atoms
Total DFT energy (no corrections): -3.936 eV/atom
Magnetic moment: 0.000 μB/atom

=====

[2]
Density functional theory data (PBE-GGA) for an optimized crystal structure of CaPrErLu.

abc: 8.1366 8.1366 8.1366
angles: 90.00 90.00 90.00
Sites, in units of the cell vectors:
Ca 0.0000 0.0000 0.0000
Ca 0.0000 0.5000 0.5000
Ca 0.5000 0.0000 0.5000
Ca 0.5000 0.5000 0.0000
Pr 0.2500 0.2500 0.7500
Pr 0.2500 0.7500 0.2500
Pr 0.7500 0.2500 0.2500
Pr 0.7500 0.7500 0.7500
Er 0.2500 0.2500 0.2500
Er 0.2500 0.7500 0.7500
Er 0.7500 0.2500 0.7500
Er 0.7500 0.7500 0.2500
Lu 0.0000 0.0000 0.5000
Lu 0.0000 0.5000 0.0000
Lu 0.5000 0.0000 0.0000
Lu 0.5000 0.5000 0.5000

## Properties
ΔH_f (0 K): 3.07 kcal/mol of atoms
Total DFT energy (no corrections): -3.833 eV/atom
Magnetic moment: 0.000 μB/atom

=====

[3]
Density functional theory data (PBE-GGA) for an optimized crystal structure of SrEuSb2.

abc: 4.2404 4.2404 7.0506
angles: 90.00 90.00 90.00
Sites, in units of the cell vectors:
Sr 0.0000 0.0000 0.0000
Eu 0.0000 0.0000 0.5000
Sb 0.5000 0.5000 0.2649
Sb 0.5000 0.5000 0.7351

## Properties
Total DFT energy (no corrections): -5.927 eV/atom
Magnetic moment: 1.684 μB/atom
E_form (uncorrected): -0.8763 eV per atom

=====

[4]
Density functional theory data (PBE-GGA) for an optimized crystal structure of Sr2Al4Zn3Cd.

abc: 4.4064 4.4064 11.2600
angles: 90.00 90.00 90.00
Sites, in units of the cell vectors:
Sr 0.0000 0.5000 0.2453
Sr 0.5000 0.0000 0.7547
Al 0.0000 0.0000 0.0000
Al 0.0000 0.5000 0.6397
Al 0.5000 0.0000 0.3603
Al 0.5000 0.5000 0.0000
Zn 0.0000 0.5000 0.8684
Zn 0.5000 0.0000 0.1316
Zn 0.5000 0.5000 0.5000
Cd 0.0000 0.0000 0.5000

## Properties
ΔH_f (0 K): -5.33 kcal/mol of atoms
Total DFT energy (no corrections): -2.538 eV/atom
Magnetic moment: 0.000 μB/atom

=====

[5]
Density functional theory data (PBE-GGA) for an optimized crystal structure of Pm6Sm2Zn.

abc: 9.5137 9.5137 3.7217
angles: 90.00 90.00 120.00
Sites, in units of the cell vectors:
Pm 0.0000 0.3814 0.0000
Pm 0.0000 0.7402 0.5000
Pm 0.2598 0.2598 0.5000
Pm 0.3814 0.0000 0.0000
Pm 0.6186 0.6186 0.0000
Pm 0.7402 0.0000 0.5000
Sm 0.3333 0.6667 0.5000
Sm 0.6667 0.3333 0.5000
Zn 0.0000 0.0000 0.0000

## Properties
ΔH_f (0 K): -1.02 kcal/mol of atoms
Total DFT energy (no corrections): -4.402 eV/atom
Magnetic moment: 0.000 μB/atom

=====

[6]
Density functional theory data (PBE-GGA) for an optimized crystal structure of La2MgMn.

abc: 8.4661 8.4661 6.3113
angles: 90.00 90.00 90.00
Sites, in units of the cell vectors:
La 0.1989 0.2500 0.1250
La 0.2500 0.6989 0.3750
La 0.2500 0.8011 0.8750
La 0.3011 0.2500 0.6250
La 0.6989 0.7500 0.6250
La 0.7500 0.1989 0.8750
La 0.7500 0.3011 0.3750
La 0.8011 0.7500 0.1250
Mg 0.0000 0.0000 0.5000
Mg 0.0000 0.5000 0.7500
Mg 0.5000 0.0000 0.2500
Mg 0.5000 0.5000 0.0000
Mn 0.0000 0.0000 0.0000
Mn 0.0000 0.5000 0.2500
Mn 0.5000 0.0000 0.7500
Mn 0.5000 0.5000 0.5000

## Properties
ΔH_f (0 K): 9.08 kcal/mol of atoms
Total DFT energy (no corrections): -4.761 eV/atom
Magnetic moment: 0.717 μB/atom

=====

[7]
Density functional theory data (PBE-GGA) for an optimized crystal structure of TbSe3.

abc: 5.4201 10.0826 5.5391
angles: 90.00 90.00 90.00
Sites, in units of the cell vectors:
Tb 0.0000 0.0000 0.0000
Tb 0.5000 0.5000 0.0000
Se 0.0000 0.0000 0.5000
Se 0.2500 0.2500 0.0000
Se 0.2500 0.7500 0.0000
Se 0.5000 0.5000 0.5000
Se 0.7500 0.2500 0.0000
Se 0.7500 0.7500 0.0000

## Properties
Total DFT energy (no corrections): -4.436 eV/atom
Magnetic moment: 0.182 μB/atom
E_form (uncorrected): -0.6650 eV per atom

=====

[8]
Density functional theory data (PBE-GGA) for an optimized crystal structure of Rb3IrPt.

abc: 6.3406 6.3406 6.3406
angles: 90.00 90.00 90.00
Sites, in units of the cell vectors:
Rb 0.0000 0.0000 0.5000
Rb 0.0000 0.5000 0.0000
Rb 0.5000 0.0000 0.0000
Ir 0.5000 0.5000 0.5000
Pt 0.0000 0.0000 0.0000

## Properties
ΔH_f (0 K): 21.49 kcal/mol of atoms
Total DFT energy (no corrections): -2.629 eV/atom
Magnetic moment: 0.400 μB/atom

=====

[9]
Density functional theory data (PBE-GGA) for an optimized crystal structure of Nd14ThTl.

abc: 10.2958 7.2760 7.2760
angles: 90.00 90.00 90.00
Sites, in units of the cell vectors:
Nd 0.0000 0.0000 0.0000
Nd 0.0000 0.9997 0.5005
Nd 0.0000 0.5002 0.5002
Nd 0.0000 0.5005 0.9997
Nd 0.2555 0.2505 0.2505
Nd 0.2561 0.2505 0.7496
Nd 0.2561 0.7496 0.2505
Nd 0.2567 0.7497 0.7497
Nd 0.5000 0.0010 0.4985
Nd 0.5000 0.4985 0.0010
Nd 0.7433 0.7497 0.7497
Nd 0.7439 0.2505 0.7496
Nd 0.7439 0.7496 0.2505
Nd 0.7445 0.2505 0.2505
Th 0.5000 0.5002 0.5002
Tl 0.5000 0.9998 0.9998

## Properties
ΔH_f (0 K): -0.22 kcal/mol of atoms
Total DFT energy (no corrections): -4.793 eV/atom
Magnetic moment: 0.000 μB/atom

=====

[10]
Density functional theory data (PBE-GGA) for an optimized crystal structure of MnPd6.

abc: 6.9900 6.9900 6.9900
angles: 90.00 90.00 90.00
Sites, in units of the cell vectors:
Mn 0.0000 0.0000 0.0000
Mn 0.5000 0.5000 0.5000
Pd 0.0000 0.2500 0.5000
Pd 0.0000 0.5000 0.2500
Pd 0.0000 0.5000 0.7500
Pd 0.0000 0.7500 0.5000
Pd 0.2500 0.0000 0.5000
Pd 0.2500 0.5000 0.0000
Pd 0.5000 0.0000 0.2500
Pd 0.5000 0.0000 0.7500
Pd 0.5000 0.2500 0.0000
Pd 0.5000 0.7500 0.0000
Pd 0.7500 0.0000 0.5000
Pd 0.7500 0.5000 0.0000

## Properties
ΔH_f (0 K): 25.69 kcal/mol of atoms
Total DFT energy (no corrections): -4.647 eV/atom
Magnetic moment: 0.629 μB/atom

=====

[11]
Density functional theory data (PBE-GGA) for an optimized crystal structure of KY.

abc: 4.5488 4.5488 10.5362
angles: 90.00 90.00 90.00
Sites, in units of the cell vectors:
K 0.2500 0.2500 0.1719
K 0.7500 0.7500 0.8281
Y 0.2500 0.7500 0.5000
Y 0.7500 0.2500 0.5000

## Properties
ΔH_f (0 K): 12.19 kcal/mol of atoms
Total DFT energy (no corrections): -3.252 eV/atom
Magnetic moment: 0.000 μB/atom

=====

[12]
Density functional theory data (PBE-GGA) for an optimized crystal structure of SrMoH2.

abc: 6.0069 6.0069 6.0069
angles: 90.00 90.00 90.00
Sites, in units of the cell vectors:
Sr 0.0000 0.0000 0.0000
Sr 0.0000 0.5000 0.5000
Sr 0.5000 0.0000 0.5000
Sr 0.5000 0.5000 0.0000
Mo 0.0000 0.0000 0.5000
Mo 0.0000 0.5000 0.0000
Mo 0.5000 0.0000 0.0000
Mo 0.5000 0.5000 0.5000
H 0.2500 0.2500 0.2500
H 0.2500 0.2500 0.7500
H 0.2500 0.7500 0.2500
H 0.2500 0.7500 0.7500
H 0.7500 0.2500 0.2500
H 0.7500 0.2500 0.7500
H 0.7500 0.7500 0.2500
H 0.7500 0.7500 0.7500

## Properties
Total DFT energy (no corrections): -3.731 eV/atom
Magnetic moment: 0.000 μB/atom